Compound: TeMoRh2
Source: Alexandria
Functional: PBE
Structure: optimized geometry

## Properties
total moment: 0.000 μB/cell
SG: Imm2, No. 44
raw total energy: -7.078 eV per atom
calculated volume: 65 Å³/f.u.
uncorrected formation energy: 35 kJ/mol of formula units

a = 4.7147 Å, b = 4.7147 Å, c = 4.7147 Å
α = 127.81°, β = 126.09°, γ = 78.34°
Positions (direct):
Mo 0.2565 0.7565 0.5000
Rh 0.9982 0.9982 0.0000
Rh 0.7425 0.2425 0.5000
Te 0.5028 0.5028 0.0000

=====

Compound: Sr3Ag2Pd3
Source: Alexandria
Functional: PBE
Structure: optimized geometry

## Properties
total moment: 0.000 μB/cell
SG: Cmcm, No. 63
formation enthalpy at 0 K: -348 kJ/mol of formula units
raw total energy: -3.742 eV per atom
calculated volume: 203 Å³/f.u.
energy above the lowest structure with this stoichiometry: 0 meV per atom

a = 4.5623 Å, b = 6.2574 Å, c = 15.2561 Å
α = 90.00°, β = 90.00°, γ = 111.38°
Positions (direct):
Sr 0.9186 0.8372 0.3942
Sr 0.0814 0.1628 0.8942
Sr 0.9186 0.8372 0.1058
Sr 0.0814 0.1628 0.6058
Sr 0.6405 0.2810 0.2500
Sr 0.3595 0.7190 0.7500
Ag 0.7816 0.5632 0.9071
Ag 0.2184 0.4368 0.4071
Ag 0.7816 0.5632 0.5929
Ag 0.2184 0.4368 0.0929
Pd 0.6033 0.2065 0.4583
Pd 0.3967 0.7935 0.9583
Pd 0.6033 0.2065 0.0417
Pd 0.3967 0.7935 0.5417
Pd 0.3492 0.6983 0.2500
Pd 0.6508 0.3017 0.7500

=====

Compound: LiPm4MgZn2
Source: Alexandria
Functional: PBE
Structure: optimized geometry

## Properties
total moment: 0.000 μB/cell
SG: R-3m, No. 166
formation enthalpy at 0 K: -118 kJ/mol of formula units
raw total energy: -3.286 eV per atom
calculated volume: 207 Å³/f.u.

a = 5.2714 Å, b = 5.2714 Å, c = 9.1222 Å
α = 73.21°, β = 73.21°, γ = 60.00°
Positions (direct):
Li 0.5000 0.5000 0.5000
Pm 0.3769 0.3769 0.8694
Pm 0.8734 0.8734 0.3799
Pm 0.1266 0.1266 0.6201
Pm 0.6231 0.6231 0.1306
Mg 0.0000 0.0000 0.0000
Zn 0.7484 0.7484 0.7547
Zn 0.2516 0.2516 0.2453

=====

Compound: Fe14CoNi
Source: Alexandria
Functional: PBE
Structure: optimized geometry

## Properties
total moment: 36.585 μB/cell
SG: Cmmm, No. 65
formation enthalpy at 0 K: -3 kJ/mol of formula units
raw total energy: -8.212 eV per atom
calculated volume: 185 Å³/f.u.

a = 4.9295 Å, b = 4.9295 Å, c = 8.0851 Å
α = 90.00°, β = 90.00°, γ = 109.72°
Positions (direct):
Fe 0.1252 0.8748 0.0000
Fe 0.6251 0.3749 0.0000
Fe 0.1248 0.3752 0.5000
Fe 0.1251 0.3748 0.0000
Fe 0.6248 0.8752 0.5000
Fe 0.6252 0.8749 0.0000
Fe 0.3772 0.1272 0.7500
Fe 0.3772 0.1272 0.2500
Fe 0.8728 0.6228 0.7500
Fe 0.8728 0.6228 0.2500
Fe 0.3742 0.6258 0.7498
Fe 0.3742 0.6258 0.2502
Fe 0.8759 0.1241 0.7498
Fe 0.8759 0.1241 0.2502
Co 0.6248 0.3752 0.5000
Ni 0.1247 0.8753 0.5000

=====

Compound: CdCo2IrN
Source: Alexandria
Functional: PBE
Structure: optimized geometry

## Properties
total moment: 2.249 μB/cell
SG: P4/mmm, No. 123
raw total energy: -6.271 eV per atom
calculated volume: 62 Å³/f.u.
uncorrected formation energy: 92 kJ/mol of formula units

a = 3.9206 Å, b = 3.9206 Å, c = 4.0608 Å
α = 90.00°, β = 90.00°, γ = 90.00°
Positions (direct):
N 0.0000 0.0000 0.0000
Ir 0.0000 0.0000 0.5000
Co 0.0000 0.5000 0.0000
Co 0.5000 0.0000 0.0000
Cd 0.5000 0.5000 0.5000

=====

Compound: SrLa7Cu4Sn4O24
Source: Alexandria
Functional: PBE
Structure: optimized geometry

## Properties
total moment: 0.000 μB/cell
SG: Pm, No. 6
raw total energy: -6.982 eV per atom
calculated volume: 532 Å³/f.u.
uncorrected formation energy: -8851 kJ/mol of formula units

a = 7.8468 Å, b = 7.8600 Å, c = 8.6321 Å
α = 91.85°, β = 90.00°, γ = 90.00°
Positions (direct):
Sr 0.5000 0.2817 0.7689
La 0.5000 0.2850 0.2083
La 0.5000 0.7675 0.1965
La 0.5000 0.7942 0.7527
La 0.0000 0.2050 0.2464
La 0.0000 0.2304 0.8025
La 0.0000 0.7165 0.7870
La 0.0000 0.7164 0.2344
Cu 0.7494 0.0006 0.9985
Cu 0.7491 0.5003 0.9983
Cu 0.2506 0.0006 0.9985
Cu 0.2509 0.5003 0.9983
Sn 0.7491 0.4984 0.5010
Sn 0.7499 0.0005 0.5014
Sn 0.2501 0.0005 0.5014
Sn 0.2509 0.4984 0.5010
O 0.7186 0.7513 0.9611
O 0.7041 0.2475 0.4222
O 0.7041 0.0437 0.7337
O 0.6995 0.5577 0.2721
O 0.5000 0.0278 0.0356
O 0.5000 0.5324 0.5834
O 0.5000 0.4801 0.9968
O 0.5000 0.9185 0.4609
O 0.3005 0.5577 0.2721
O 0.2959 0.0437 0.7337
O 0.2959 0.2475 0.4222
O 0.2814 0.7513 0.9611
O 0.2171 0.2496 0.0395
O 0.1995 0.7509 0.5705
O 0.1964 0.9464 0.2695
O 0.1917 0.4472 0.7282
O 0.0000 0.0857 0.5371
O 0.0000 0.4710 0.4125
O 0.0000 0.5295 0.0122
O 0.0000 0.9702 0.9728
O 0.8083 0.4472 0.7282
O 0.8036 0.9464 0.2695
O 0.8005 0.7509 0.5705
O 0.7829 0.2496 0.0395

=====

Compound: Rb2RuSI6
Source: Alexandria
Functional: PBE
Structure: optimized geometry

## Properties
total moment: 2.098 μB/cell
SG: I4/mmm, No. 139
raw total energy: -2.867 eV per atom
calculated volume: 389 Å³/f.u.
uncorrected formation energy: -389 kJ/mol of formula units

a = 8.4084 Å, b = 8.4084 Å, c = 8.1033 Å
α = 58.75°, β = 58.75°, γ = 90.00°
Positions (direct):
I 0.2528 0.2528 0.4943
I 0.7472 0.7472 0.5057
I 0.2304 0.2304 0.0000
I 0.7696 0.7696 0.0000
I 0.7696 0.2304 0.0000
I 0.2304 0.7696 0.0000
Ru 0.0000 0.0000 0.0000
S 0.5000 0.5000 0.0000
Rb 0.7500 0.2500 0.5000
Rb 0.2500 0.7500 0.5000

=====

Compound: HgBiI3
Source: Alexandria
Functional: PBE
Structure: optimized geometry

## Properties
total moment: 0.000 μB/cell
SG: P2_1/m, No. 11
raw total energy: -2.092 eV per atom
calculated volume: 249 Å³/f.u.
energy above the lowest structure with this stoichiometry: 0 meV per atom
uncorrected formation energy: -157 kJ/mol of formula units

a = 8.7363 Å, b = 9.4476 Å, c = 15.3507 Å
α = 128.28°, β = 90.00°, γ = 90.00°
Positions (direct):
Hg 0.7503 0.3104 0.9982
Hg 0.2497 0.6896 0.0018
Hg 0.2503 0.6896 0.5018
Hg 0.7497 0.3104 0.4982
Bi 0.2500 0.0284 0.5000
Bi 0.7500 0.9716 0.5000
Bi 0.7500 0.9716 0.0000
Bi 0.2500 0.0284 0.0000
I 0.9997 0.1868 0.6836
I 0.0003 0.8132 0.3164
I 0.4997 0.8132 0.8164
I 0.5003 0.1868 0.1836
I 0.5003 0.1867 0.6835
I 0.4997 0.8133 0.3165
I 0.0003 0.8133 0.8165
I 0.9997 0.1867 0.1835
I 0.2500 0.3372 0.4976
I 0.7500 0.6628 0.5024
I 0.7500 0.6628 0.0024
I 0.2500 0.3372 0.9976